[1]
VASP calculation (PBE) on a geometry-optimized Pm3GaIr3 structure.

formation energy from the elements: -747 meV/atom
calculated density: 11.6 g/cm³
offset from the most stable computed form: 0 meV per atom
uncorrected energy: -7.0132 eV/atom

Unit cell a=4.2067 b=5.6625 c=13.9699 alpha=90.00 beta=90.00 gamma=111.81
Closest atoms and distances in Å follow each position.
Element x y z (fractional)
Ir: 0.9191 0.8381 0.9118  2 Ga 2.58, 1 Ir 2.73
Pm: 0.7918 0.5836 0.1062  6 Ir 2.99-3.07
Ir: 0.7732 0.5463 0.7500  2 Ir 2.73, 5 Pm 2.99
Ir: 0.9191 0.8381 0.5882  2 Ga 2.58, 1 Ir 2.73
Pm: 0.2082 0.4164 0.6062  6 Ir 2.99-3.07
Ir: 0.2268 0.4537 0.2500  2 Ir 2.73, 5 Pm 2.99
Pm: 0.2082 0.4164 0.8938  6 Ir 2.99-3.07
Pm: 0.4891 0.9783 0.7500  7 Ir 2.99-3.17
Ga: 0.5000 0.0000 0.5000  4 Ir 2.58
Pm: 0.7918 0.5836 0.3938  6 Ir 2.99-3.07
Ga: 0.5000 0.0000 0.0000  4 Ir 2.58
Ir: 0.0809 0.1619 0.0882  2 Ga 2.58, 1 Ir 2.73
Pm: 0.5109 0.0217 0.2500  7 Ir 2.99-3.17
Ir: 0.0809 0.1619 0.4118  2 Ga 2.58, 1 Ir 2.73

---

[2]
VASP calculation (PBE) on a geometry-optimized RbAg2Pd2 structure.

formation energy from the elements: 83 meV/atom
calculated density: 8.2 g/cm³
offset from the most stable computed form: 0 meV per atom
uncorrected energy: -3.3283 eV/atom

Unit cell a=8.3841 b=8.3841 c=2.9649 alpha=90.00 beta=90.00 gamma=90.00
Closest atoms and distances in Å follow each position.
Element x y z (fractional)
Ag: 0.3306 0.1694 0.5000  6 Pd 2.88-2.90, 2 Ag 2.96
Ag: 0.1694 0.6694 0.5000  6 Pd 2.88-2.90, 2 Ag 2.96
Pd: 0.1206 0.3794 0.0000  3 Pd 2.86-2.96, 6 Ag 2.88-2.90
Rb: 0.5000 0.5000 0.0000  2 Rb 2.96
Pd: 0.3794 0.8794 0.0000  3 Pd 2.86-2.96, 6 Ag 2.88-2.90
Ag: 0.8306 0.3306 0.5000  6 Pd 2.88-2.90, 2 Ag 2.96
Rb: 0.0000 0.0000 0.0000  2 Rb 2.96
Ag: 0.6694 0.8306 0.5000  6 Pd 2.88-2.90, 2 Ag 2.96
Pd: 0.6206 0.1206 0.0000  3 Pd 2.86-2.96, 6 Ag 2.88-2.90
Pd: 0.8794 0.6206 0.0000  3 Pd 2.86-2.96, 6 Ag 2.88-2.90

---

[3]
VASP calculation (PBE) on a geometry-optimized PAuCS2 structure.

calculated density: 7.0 g/cm³
offset from the most stable computed form: 0 meV per atom
uncorrected energy: -3.9095 eV/atom

Unit cell a=4.2107 b=4.2107 c=4.0730 alpha=90.00 beta=90.00 gamma=90.00
Closest atoms and distances in Å follow each position.
Element x y z (fractional)
Au: 0.5000 0.5000 0.5000  8 S 2.93, 4 P 2.98
S: 0.0000 0.5000 0.0000  2 C 2.11
P: 0.0000 0.0000 0.5000  2 C 2.04
C: 0.0000 0.0000 0.0000  2 P 2.04, 4 S 2.11
S: 0.5000 0.0000 0.0000  2 C 2.11

---

[4]
VASP calculation (PBE) on a geometry-optimized Sm3Zn4Rh4 structure.

formation energy from the elements: -399 meV/atom
calculated density: 8.5 g/cm³
uncorrected energy: -4.8230 eV/atom

Unit cell a=6.5875 b=6.5875 c=6.5875 alpha=109.47 beta=109.47 gamma=109.47
Closest atoms and distances in Å follow each position.
Element x y z (fractional)
Sm: 0.5000 0.0000 0.5000  4 Rh 3.13, 4 Zn 3.16
Zn: 0.2416 0.0000 0.0000  4 Rh 2.38-2.57, 3 Zn 2.60
Rh: 0.0000 0.0000 0.6027  4 Zn 2.38-2.57
Zn: 0.7584 0.7584 0.7584  4 Rh 2.38-2.57, 3 Zn 2.60
Rh: 0.3973 0.3973 0.3973  4 Zn 2.38-2.57
Zn: 0.0000 0.0000 0.2416  4 Rh 2.38-2.57, 3 Zn 2.60
Rh: 0.6027 0.0000 0.0000  4 Zn 2.38-2.57
Sm: 0.0000 0.5000 0.5000  4 Rh 3.13, 4 Zn 3.16
Zn: 0.0000 0.2416 0.0000  4 Rh 2.38-2.57, 3 Zn 2.60
Rh: 0.0000 0.6027 0.0000  4 Zn 2.38-2.57
Sm: 0.5000 0.5000 0.0000  4 Rh 3.13, 4 Zn 3.16